# 1
# NaLaTl2

Crystalline NaLaTl2 at its relaxed geometry (PBE, the Alexandria database).

The structure belongs to space group I-42d (No. 122); the cell edges are 5.0095, 5.0095 and 21.2879 Å and the angles 90.00°, 90.00° and 90.00°. The inequivalent atoms are Na at (0.0000, 0.0000, 0.0000), La at (0.0000, 0.0000, 0.5000) and Tl at (0.2096, 0.2500, 0.1250).

For the energy above the lowest structure with this stoichiometry, the calculation gives 370 meV/atom. As for the crystal system: tetragonal.

---

# 2
# Na2LaTl

Crystalline Na2LaTl at its relaxed geometry (PBE, the Alexandria database).

The structure belongs to space group I-42d (No. 122); the cell edges are 4.6973, 4.6973 and 25.0240 Å and the angles 90.00°, 90.00° and 90.00°. The inequivalent atoms are Na at (0.2162, 0.2500, 0.1250), La at (0.0000, 0.0000, 0.5000) and Tl at (0.0000, 0.0000, 0.0000).

As for the crystal system: tetragonal.

---

# 3
# NaLaTl

Crystalline NaLaTl at its relaxed geometry (PBE, the Alexandria database).

The structure belongs to space group I4mm (No. 107); the cell edges are 3.6005, 3.6005 and 14.9096 Å and the angles 90.00°, 90.00° and 90.00°. The inequivalent atoms are Na at (0.0000, 0.0000, 0.0000), La at (0.0000, 0.0000, 0.2954) and Tl at (0.0000, 0.0000, 0.6440).

For the energy above the lowest structure with this stoichiometry, the calculation gives 123 meV/atom. As for the crystal system: tetragonal.

---

# 4
# NaLa2Tl9

Crystalline NaLa2Tl9 at its relaxed geometry (PBE, the Alexandria database).

The structure belongs to space group P4/mmm (No. 123); the cell edges are 4.8786, 4.8786 and 14.6016 Å and the angles 90.00°, 90.00° and 90.00°. The inequivalent atoms are Na at (0.0000, 0.0000, 0.0000), La at (0.0000, 0.0000, 0.3330), Tl at (0.0000, 0.5000, 0.1632), Tl at (0.0000, 0.5000, 0.5000), Tl at (0.5000, 0.5000, 0.0000) and Tl at (0.5000, 0.5000, 0.3349).

As for the crystal system: tetragonal.

---

# 5
# Na2La2Tl

Crystalline Na2La2Tl at its relaxed geometry (PBE, the Alexandria database).

The structure belongs to space group I4/mmm (No. 139); the cell edges are 4.5442, 4.5442 and 17.2680 Å and the angles 90.00°, 90.00° and 90.00°. The inequivalent atoms are Na at (0.0000, 0.0000, 0.0842), La at (0.0000, 0.5000, 0.2500) and Tl at (0.0000, 0.0000, 0.5000).

For the energy above the lowest structure with this stoichiometry, the calculation gives 196 meV/atom. As for the crystal system: tetragonal.

---

# 6
# NaLaTl2

Crystalline NaLaTl2 at its relaxed geometry (PBE, the Alexandria database).

The structure belongs to space group P4/mmm (No. 123); the cell edges are 5.4696, 5.4696 and 4.0318 Å and the angles 90.00°, 90.00° and 90.00°. The inequivalent atoms are Na at (0.0000, 0.0000, 0.0000), La at (0.5000, 0.5000, 0.0000) and Tl at (0.0000, 0.5000, 0.5000).

For the energy above the lowest structure with this stoichiometry, the calculation gives 12 meV/atom. As for the crystal system: tetragonal.

---

# 7
# Na2LaTl

Crystalline Na2LaTl at its relaxed geometry (PBE, the Alexandria database).

The structure belongs to space group R-3m (No. 166, hexagonal axes); the cell edges are 3.4811, 3.4811 and 38.0332 Å and the angles 90.00°, 90.00° and 120.00°. The inequivalent atoms are Na at (0.0000, 0.0000, 0.0923), La at (0.0000, 0.0000, 0.0000) and Tl at (0.0000, 0.0000, 0.5000).

As for the crystal system: trigonal.

---

# 8
# Na3LaTl4

Crystalline Na3LaTl4 at its relaxed geometry (PBE, the Alexandria database).

The structure belongs to space group I4/mmm (No. 139); the cell edges are 5.5256, 5.5256 and 15.0014 Å and the angles 90.00°, 90.00° and 90.00°. The inequivalent atoms are Na at (0.0000, 0.0000, 0.0000), Na at (0.0000, 0.0000, 0.2481), La at (0.0000, 0.0000, 0.5000) and Tl at (0.0000, 0.5000, 0.1293).

As for the crystal system: tetragonal.

---

Number 1: total energy -42.80 eV for the cell shown, density of states at the Fermi level 18.7 states/eV per cell, formation enthalpy at 0 K 70 meV per atom. Number 2: total energy -38.60 eV for the cell shown, density of states at the Fermi level 16.6 states/eV per cell, formation enthalpy at 0 K 70 meV per atom. Number 3: total energy -17.71 eV for the cell shown, density of states at the Fermi level 7.3 states/eV per cell, formation enthalpy at 0 K -81 meV per atom. Number 4: total energy -35.37 eV for the cell shown, density of states at the Fermi level 5.4 states/eV per cell, formation enthalpy at 0 K -242 meV per atom. Number 5: total energy -26.49 eV for the cell shown, density of states at the Fermi level 12.1 states/eV per cell, formation enthalpy at 0 K 322 meV per atom. Number 6: total energy -12.13 eV for the cell shown, density of states at the Fermi level 2.7 states/eV per cell, formation enthalpy at 0 K -288 meV per atom. Number 7: total energy -28.50 eV for the cell shown, density of states at the Fermi level 11.4 states/eV per cell, formation enthalpy at 0 K 108 meV per atom. Number 8: total energy -39.69 eV for the cell shown, density of states at the Fermi level 9.9 states/eV per cell, formation enthalpy at 0 K -187 meV per atom.